1.
# BaLiScO3 | the Alexandria database | PBE | optimized geometry
data_BaLiScO3
_chemical_formula_sum 'Ba4 Li4 Sc4 O12'
_cell_length_a 5.7173
_cell_length_b 10.5726
_cell_length_c 5.6896
_cell_angle_alpha 90.00
_cell_angle_beta 90.00
_cell_angle_gamma 90.00
_space_group_name_H-M_alt 'C m c m'
_space_group_IT_number 63
_space_group_name_Hall '-C 2c 2'
loop_
_atom_site_label
_atom_site_type_symbol
_atom_site_fract_x
_atom_site_fract_y
_atom_site_fract_z
_atom_site_occupancy
Ba1 Ba 0.0000 0.2138 0.2500 1
Li1 Li 0.0000 0.0695 0.7500 1
Sc1 Sc 0.0000 0.4482 0.7500 1
O1 O 0.0000 0.2596 0.7500 1
O2 O 0.2468 0.5000 0.0000 1
# D(E_F): 0.000 states/eV/cell
# Formation energy (no corrections): -1597.9 kJ/mol of formula units

2.
# Ba2LiSeO | the Alexandria database | PBE | optimized geometry
data_Ba2LiSeO
_chemical_formula_sum 'Ba2 Li1 Se1 O1'
_cell_length_a 5.5434
_cell_length_b 5.5434
_cell_length_c 4.0725
_cell_angle_alpha 90.00
_cell_angle_beta 90.00
_cell_angle_gamma 90.00
_space_group_name_H-M_alt 'P 4/m m m'
_space_group_IT_number 123
_space_group_name_Hall '-P 4 2'
loop_
_atom_site_label
_atom_site_type_symbol
_atom_site_fract_x
_atom_site_fract_y
_atom_site_fract_z
_atom_site_occupancy
Ba1 Ba 0.0000 0.5000 0.0000 1
Li1 Li 0.0000 0.0000 0.5000 1
Se1 Se 0.5000 0.5000 0.5000 1
O1 O 0.0000 0.0000 0.0000 1
# D(E_F): 2.053 states/eV/cell
# Formation energy (no corrections): -807.6 kJ/mol of formula units

3.
# Ba2LiSe2O6 | the Alexandria database | PBE | optimized geometry
data_Ba2LiSe2O6
_chemical_formula_sum 'Ba6 Li3 Se6 O18'
_cell_length_a 5.6913
_cell_length_b 5.6913
_cell_length_c 18.9121
_cell_angle_alpha 90.00
_cell_angle_beta 90.00
_cell_angle_gamma 120.00
_space_group_name_H-M_alt 'R -3 m'
_space_group_IT_number 166
_space_group_name_Hall '-R 3 2"'
loop_
_atom_site_label
_atom_site_type_symbol
_atom_site_fract_x
_atom_site_fract_y
_atom_site_fract_z
_atom_site_occupancy
Ba1 Ba 0.0000 0.0000 0.2088 1
Li1 Li 0.0000 0.0000 0.0000 1
Se1 Se 0.0000 0.0000 0.3808 1
O1 O 0.0115 0.5057 0.2452 1
# D(E_F): 10.769 states/eV/cell
# Formation energy (no corrections): -1725.3 kJ/mol of formula units

What is the formation energy (no corrections) in the second record?
-807.6 kJ/mol of formula units